No. 1
Here is a relaxed ZnSi2AgIr crystal from Alexandria. Energies are from GGA-PBE.

Lattice parameters (Å, degrees): 4.5226 4.5226 5.4085 90.00 90.00 90.00
With the nearest neighbours (Å) after each atom.
Fractional coordinates of all 5 atoms:
Zn 0.0000 0.0000 0.0000  4 Ag 3.20, 8 Si 3.53
Si 0.0000 0.5000 0.5000  2 Ir 2.26
Si 0.5000 0.0000 0.5000  2 Ir 2.26
Ag 0.5000 0.5000 0.0000  2 Ir 2.70
Ir 0.5000 0.5000 0.5000  4 Si 2.26

**SG**: P4/mmm, No. 123
**Calculated density**: 6.33 g/cm3
**Energy relative to the elements, uncorrected**: 0.33 eV per atom



No. 2
Here is a relaxed MgCo2Sn2 crystal from Alexandria. Energies are from GGA-PBE.

Lattice parameters (Å, degrees): 6.3735 6.3735 6.3735 142.51 142.51 54.06
With the nearest neighbours (Å) after each atom.
Fractional coordinates of all 5 atoms:
Mg 0.0000 0.0000 0.0000  8 Sn 3.23, 8 Co 3.50
Co 0.2500 0.7500 0.5000  4 Sn 2.49
Co 0.7500 0.2500 0.5000  4 Sn 2.49
Sn 0.3751 0.3751 0.0000  4 Co 2.49
Sn 0.6249 0.6249 0.0000  4 Co 2.49

**SG**: I4/mmm, No. 139
**Calculated density**: 6.62 g/cm3
**Offset from the most stable computed form**: 0.249 eV per atom



no.,calculated volume (Å³ per atom),size of the total moment (μB per formula unit)
1,22.1,0.00
2,19.1,0.00